A plane-wave DFT calculation with GGA-PBE was carried out for YOs2Br after structural relaxation.

Cell lengths 3.669, 3.129, 7.978 Å; angles 78.47, 90.00, 90.00 degrees
Fractional coordinates of all 4 atoms:
Y 0.000 0.575 0.473
Os 0.000 0.760 0.110
Os 0.500 0.207 0.215
Br 0.500 0.958 0.702

Energy above the lowest structure with this stoichiometry: 125 meV/atom
Raw formation energy: 0.06 eV per atom
Symmetry: Pm
Final energy: -7.5873 eV/atom

=====

A plane-wave DFT calculation with GGA-PBE was carried out for Tb2DyScBi4 after structural relaxation.

Cell lengths 4.439, 7.684, 7.682 Å; angles 109.48, 90.00, 90.00 degrees
Fractional coordinates of all 8 atoms:
Tb 0.500 0.000 0.500
Tb 0.000 0.500 0.500
Dy 0.000 0.000 0.000
Sc 0.500 0.500 0.000
Bi 0.500 0.254 0.244
Bi 0.500 0.746 0.756
Bi 0.000 0.260 0.761
Bi 0.000 0.740 0.239

Symmetry: P2/m
Final energy: -5.2744 eV/atom
Energy of formation from the pure elements: -0.810 eV/atom

=====

A plane-wave DFT calculation with GGA-PBE was carried out for DyNp2PaAs4 after structural relaxation.

Cell lengths 4.116, 7.123, 7.104 Å; angles 109.55, 90.00, 90.00 degrees
Site moments in Bohr magnetons follow the coordinates.
Fractional coordinates of all 8 atoms:
Dy 0.000 0.000 0.000  0.00
Np 0.500 0.000 0.500  -3.81
Np 0.000 0.500 0.500  -3.80
Pa 0.500 0.500 0.000  -0.62
As 0.500 0.251 0.250  0.06
As 0.500 0.749 0.750  0.06
As 0.000 0.251 0.751  0.06
As 0.000 0.749 0.249  0.06

Symmetry: P2/m
Final energy: -8.3171 eV/atom
Energy of formation from the pure elements: -0.995 eV/atom

=====

A plane-wave DFT calculation with GGA-PBE was carried out for ZrRe2Rh after structural relaxation.

Cell lengths 5.041, 5.041, 2.783 Å; angles 90.00, 90.00, 113.39 degrees
Fractional coordinates of all 4 atoms:
Re 0.000 0.000 0.000
Re 0.500 0.500 0.000
Rh 0.500 0.000 0.500
Zr 0.000 0.500 0.500

Energy above the lowest structure with this stoichiometry: 215 meV/atom
Symmetry: Cmmm
Final energy: -10.1091 eV/atom
Energy of formation from the pure elements: 0.090 eV/atom

=====

A plane-wave DFT calculation with GGA-PBE was carried out for Ce2Ho3Ge4 after structural relaxation.

Cell lengths 7.654, 7.939, 7.827 Å; angles 90.00, 90.00, 111.56 degrees
Site moments in Bohr magnetons follow the coordinates.
Fractional coordinates of all 18 atoms:
Ce 0.564 0.196 0.319  0.63
Ce 0.936 0.804 0.819  0.63
Ce 0.436 0.804 0.681  0.63
Ce 0.064 0.196 0.181  0.63
Ho 0.000 0.500 0.500  0.03
Ho 0.500 0.500 0.000  0.03
Ho 0.733 0.240 0.836  0.01
Ho 0.767 0.760 0.336  0.01
Ho 0.267 0.760 0.164  0.01
Ho 0.233 0.240 0.664  0.01
Ge 0.830 0.087 0.537  -0.02
Ge 0.670 0.913 0.037  -0.02
Ge 0.170 0.913 0.463  -0.02
Ge 0.330 0.087 0.963  -0.02
Ge 0.869 0.493 0.131  -0.01
Ge 0.631 0.507 0.631  -0.01
Ge 0.131 0.507 0.869  -0.01
Ge 0.369 0.493 0.369  -0.01

Symmetry: P2_1/c
Final energy: -5.7164 eV/atom
Energy of formation from the pure elements: -0.820 eV/atom

=====

A plane-wave DFT calculation with GGA-PBE was carried out for Ti2GaPdF after structural relaxation.

Cell lengths 4.015, 4.751, 4.015 Å; angles 90.00, 90.00, 90.00 degrees
Fractional coordinates of all 5 atoms:
F 0.000 0.000 0.000
Ga 0.500 0.500 0.500
Pd 0.000 0.500 0.000
Ti 0.000 0.000 0.500
Ti 0.500 0.000 0.000

Raw formation energy: -0.61 eV per atom
Symmetry: P4/mmm
Final energy: -5.7842 eV/atom

=====

A plane-wave DFT calculation with GGA-PBE was carried out for Te2PtPb after structural relaxation.

Cell lengths 9.647, 9.647, 9.647 Å; angles 23.63, 23.63, 23.63 degrees
Fractional coordinates of all 4 atoms:
Pb 0.000 0.000 0.000
Te 0.885 0.885 0.885
Te 0.115 0.115 0.115
Pt 0.500 0.500 0.500

Raw formation energy: -0.20 eV per atom
Symmetry: R-3m
Final energy: -4.2077 eV/atom

=====

A plane-wave DFT calculation with GGA-PBE was carried out for GdTiHg2 after structural relaxation.

Cell lengths 4.015, 4.776, 4.776 Å; angles 90.00, 90.00, 90.00 degrees
Site moments in Bohr magnetons follow the coordinates.
Fractional coordinates of all 4 atoms:
Gd 0.500 0.500 0.500  7.20
Hg 0.000 0.000 0.500  0.02
Hg 0.000 0.500 0.000  0.02
Ti 0.500 0.000 0.000  1.20

Energy above the lowest structure with this stoichiometry: 41 meV/atom
Symmetry: P4/mmm
Final energy: -5.7963 eV/atom
Energy of formation from the pure elements: -0.151 eV/atom